# 1
# TaCo2Re

A geometry-optimized TaCo2Re structure (PBE, Alexandria via LeMat-Bulk).

Cell: 8.8420 8.8420 8.8420 Å, 17.74 17.74 17.74°
With the nearest neighbours (Å) after each atom.
Atoms (fractional coordinates):
Re  0.5081  0.5081  0.5081  3 Co 2.56, 6 Re 2.73
Ta  0.7448  0.7448  0.7448  3 Co 2.68, 6 Ta 2.73, 3 Re 2.97
Co  0.2519  0.2519  0.2519  9 Co 2.54-2.73, 3 Re 2.56
Co  0.9951  0.9951  0.9951  9 Co 2.54-2.73, 3 Ta 2.68

Calculated values
calculated formation energy = 261 meV/atom
symmetry = R3m (160)

# 2
# Ta2CoRe

A geometry-optimized Ta2CoRe structure (PBE, Alexandria via LeMat-Bulk).

Cell: 4.5086 2.7720 5.0863 Å, 80.33 90.00 90.00°
With the nearest neighbours (Å) after each atom.
Atoms (fractional coordinates):
Ta  0.5000  0.2578  0.2741  2 Co 2.62, 2 Re 2.68-2.69, 4 Ta 2.77-2.86
Re  0.5000  0.7317  0.7701  4 Ta 2.65-2.69, 2 Re 2.77, 2 Co 2.83
Ta  0.0000  0.9943  0.9823  2 Co 2.62-2.74, 2 Re 2.65, 4 Ta 2.77-2.86
Co  0.0000  0.5162  0.4734  4 Ta 2.62-2.74, 2 Co 2.77, 2 Re 2.83

Calculated values
calculated formation energy = -13 meV/atom
symmetry = Pm (6)

# 3
# TaCo2Re

A geometry-optimized TaCo2Re structure (PBE, Alexandria via LeMat-Bulk).

Cell: 3.7908 3.7918 3.7103 Å, 90.00 90.00 90.00°
With the nearest neighbours (Å) after each atom.
Atoms (fractional coordinates):
Ta  0.0000  0.5000  0.5000  8 Co 2.65, 4 Re 2.68
Co  0.5000  0.5000  0.0000  4 Ta 2.65, 4 Re 2.65, 4 Co 2.68
Co  0.0000  0.0000  0.0000  4 Re 2.65, 4 Ta 2.65, 4 Co 2.68
Re  0.5000  0.0000  0.5000  8 Co 2.65, 4 Ta 2.68

Calculated values
calculated formation energy = -120 meV/atom
symmetry = P4/mmm (123)

# 4
# TaCo2Re

A geometry-optimized TaCo2Re structure (PBE, Alexandria via LeMat-Bulk).

Cell: 6.6213 6.6213 5.3689 Å, 51.93 51.93 90.00°
With the nearest neighbours (Å) after each atom.
Atoms (fractional coordinates):
Co  0.8750  0.8872  0.7500  2 Re 2.38, 2 Ta 2.49, 2 Co 2.63
Re  0.0000  0.0000  0.0000  4 Co 2.38, 2 Ta 2.63
Re  0.7500  0.2500  0.5000  4 Co 2.38, 2 Ta 2.63
Ta  0.5000  0.5000  0.0000  4 Co 2.49, 2 Re 2.63
Co  0.6372  0.1250  0.2500  2 Re 2.38, 2 Ta 2.49, 2 Co 2.63
Co  0.1128  0.6250  0.2500  2 Re 2.38, 2 Ta 2.49, 2 Co 2.63
Ta  0.2500  0.7500  0.5000  4 Co 2.49, 2 Re 2.63
Co  0.3750  0.3628  0.7500  2 Re 2.38, 2 Ta 2.49, 2 Co 2.63

Calculated values
calculated formation energy = 447 meV/atom
symmetry = I-42d (122)

no.,theoretical density (g cm⁻³)
1,14.38
2,16.09
3,15.10
4,13.98